Entry 1:
Ca2CdGe2 GGA-PBE relaxed; energy of formation from the pure elements = -0.244 eV/atom; calculated volume = 26.5 Å³/atom; N(E_F) = 2.9 states/eV/f.u.; M_tot = 0.000 μB per cell
1.0
-0.941 1.728 -3.258
-0.795 -3.378 -1.562
-9.523 -0.116 0.465
Ge Ca Cd
2 2 1
Direct
0.250 0.750 0.500 Ge
0.750 0.250 0.500 Ge
0.612 0.612 0.777 Ca
0.388 0.388 0.223 Ca
0.000 0.000 0.000 Cd


Entry 2:
MnTl5 GGA-PBE relaxed; energy of formation from the pure elements = 0.261 eV/atom; calculated volume = 28.0 Å³/atom; N(E_F) = 3.6 states/eV/f.u.; M_tot = 4.075 μB per cell
1.0
-5.759 6.579 -3.846
5.647 -4.207 6.454
4.028 2.368 -1.981
Tl Mn
5 1
Direct
0.457 0.543 0.500 Tl
0.350 0.650 0.000 Tl
0.776 0.224 0.500 Tl
0.653 0.347 0.000 Tl
0.103 0.897 0.500 Tl
0.994 0.006 0.000 Mn


Entry 3:
Ti3CuIr GGA-PBE relaxed; energy of formation from the pure elements = 0.499 eV/atom; calculated volume = 21.4 Å³/atom; N(E_F) = 6.5 states/eV/f.u.; M_tot = 2.145 μB per cell
1.0
4.747 0.000 0.000
0.000 4.747 0.000
0.000 0.000 4.747
Ir Ti Cu
1 3 1
Direct
0.000 0.000 0.000 Ir
0.500 0.000 0.000 Ti
0.000 0.000 0.500 Ti
0.000 0.500 0.000 Ti
0.500 0.500 0.500 Cu


Entry 4:
HfAsAuBr2 GGA-PBE relaxed; calculated volume = 28.5 Å³/atom; energy relative to the elements, uncorrected = -86 meV per atom; N(E_F) = 1.9 states/eV/f.u.; M_tot = 0.000 μB per cell
1.0
5.134 0.000 0.000
0.000 5.134 0.000
0.000 0.000 5.400
Br Hf As Au
2 1 1 1
Direct
0.500 0.000 0.000 Br
0.000 0.500 0.000 Br
0.000 0.000 0.000 Hf
0.000 0.000 0.500 As
0.500 0.500 0.500 Au


Entry 5:
PmSn2Pd8 GGA-PBE relaxed; energy of formation from the pure elements = -0.470 eV/atom; calculated volume = 18.4 Å³/atom; N(E_F) = 4.2 states/eV/f.u.; M_tot = 0.000 μB per cell
1.0
4.856 -0.362 -0.544
-1.343 7.124 -0.501
-1.343 -3.206 6.381
Pd Pm Sn
8 1 2
Direct
0.500 0.774 0.226 Pd
0.866 0.911 0.675 Pd
0.312 0.580 0.580 Pd
0.134 0.089 0.325 Pd
0.688 0.420 0.420 Pd
0.866 0.675 0.911 Pd
0.500 0.226 0.774 Pd
0.134 0.325 0.089 Pd
0.500 0.000 0.000 Pm
0.000 0.311 0.689 Sn
0.000 0.689 0.311 Sn


Entry 6:
Pr4Y5Tm2 GGA-PBE relaxed; energy of formation from the pure elements = 0.105 eV/atom; calculated volume = 33.4 Å³/atom; N(E_F) = 15.7 states/eV/f.u.; M_tot = 0.000 μB per cell
1.0
-1.211 4.928 -2.551
1.172 -2.817 -5.996
-8.647 -5.014 0.742
Pr Y Tm
4 5 2
Direct
0.307 0.931 0.615 Pr
0.980 0.710 0.959 Pr
0.020 0.290 0.041 Pr
0.693 0.069 0.385 Pr
0.791 0.600 0.582 Y
0.130 0.884 0.261 Y
0.209 0.400 0.418 Y
0.500 0.000 0.000 Y
0.870 0.116 0.739 Y
0.597 0.554 0.194 Tm
0.403 0.446 0.806 Tm


Entry 7:
HfTiAlHg GGA-PBE relaxed; energy of formation from the pure elements = -0.056 eV/atom; calculated volume = 19.0 Å³/atom; N(E_F) = 4.1 states/eV/f.u.; M_tot = 0.001 μB per cell
1.0
4.752 0.000 0.000
2.376 4.116 0.000
2.376 1.372 3.880
Hg Ti Hf Al
1 1 1 1
Direct
0.000 0.000 0.000 Hg
0.250 0.250 0.250 Ti
0.750 0.750 0.750 Hf
0.500 0.500 0.500 Al


Entry 8:
HfBi3N GGA-PBE relaxed; calculated volume = 23.5 Å³/atom; energy relative to the elements, uncorrected = 539 meV per atom; N(E_F) = 1.8 states/eV/f.u.; M_tot = 0.000 μB per cell
1.0
-0.551 -3.517 3.366
3.542 -2.614 -2.152
3.340 2.192 2.836
Hf N Bi
1 1 3
Direct
0.500 0.500 0.500 Hf
0.000 0.000 0.000 N
0.000 0.000 0.500 Bi
0.500 0.000 0.000 Bi
0.000 0.500 0.000 Bi


Entry 9:
OsI GGA-PBE relaxed; calculated volume = 25.7 Å³/atom; energy relative to the elements, uncorrected = 1620 meV per atom; N(E_F) = 1.8 states/eV/f.u.; M_tot = 0.000 μB per cell
1.0
4.031 0.000 0.000
-2.016 3.491 0.000
0.000 0.000 7.312
Os I
2 2
Direct
0.667 0.333 0.220 Os
0.333 0.667 0.720 Os
0.333 0.667 0.362 I
0.667 0.333 0.862 I


Entry 10:
LiPd5Au GGA-PBE relaxed; energy of formation from the pure elements = 0.549 eV/atom; calculated volume = 23.6 Å³/atom; N(E_F) = 10.9 states/eV/f.u.; M_tot = 0.000 μB per cell
1.0
-3.582 3.880 -4.911
-3.667 0.957 3.430
5.813 1.265 2.054
Li Pd Au
1 5 1
Direct
0.670 0.000 0.000 Li
0.907 0.750 0.499 Pd
0.407 0.250 0.501 Pd
0.133 0.752 0.000 Pd
0.824 0.500 0.000 Pd
0.133 0.248 0.000 Pd
0.457 0.500 0.000 Au


Entry 11:
Ba2NbO GGA-PBE relaxed; calculated volume = 36.8 Å³/atom; energy relative to the elements, uncorrected = -225 meV per atom; N(E_F) = 0.8 states/eV/f.u.; M_tot = 10.056 μB per cell
1.0
7.889 0.000 0.000
0.000 7.889 0.000
3.945 3.945 4.728
O Nb Ba
2 2 4
Direct
0.500 0.500 0.000 O
0.250 0.750 0.500 O
0.000 0.000 0.000 Nb
0.750 0.250 0.500 Nb
0.236 0.625 0.250 Ba
0.875 0.764 0.750 Ba
0.514 0.125 0.250 Ba
0.375 0.486 0.750 Ba


Entry 12:
Ag3IrBr GGA-PBE relaxed; calculated volume = 25.5 Å³/atom; energy relative to the elements, uncorrected = 1414 meV per atom; N(E_F) = 5.8 states/eV/f.u.; M_tot = 1.140 μB per cell
1.0
-4.620 -0.470 -1.947
0.694 -4.967 -0.447
-1.878 -0.678 4.622
Ag Br Ir
3 1 1
Direct
0.000 0.000 0.500 Ag
0.000 0.500 0.000 Ag
0.500 0.000 0.000 Ag
0.000 0.000 0.000 Br
0.500 0.500 0.500 Ir


Entry 13:
Pm6Si2S3I GGA-PBE relaxed; calculated volume = 26.1 Å³/atom; energy relative to the elements, uncorrected = -1422 meV per atom; N(E_F) = 3.7 states/eV/f.u.; M_tot = 0.000 μB per cell
1.0
-1.147 -3.921 0.767
4.766 -2.664 -6.489
6.432 1.603 6.550
Pm Si S I
6 2 3 1
Direct
0.333 0.417 0.666 Pm
0.667 0.583 0.334 Pm
0.680 0.101 0.360 Pm
0.005 0.287 0.010 Pm
0.320 0.899 0.640 Pm
0.995 0.713 0.990 Pm
0.833 0.666 0.666 Si
0.167 0.334 0.334 Si
0.500 0.500 0.000 S
0.161 0.837 0.322 S
0.839 0.163 0.678 S
0.500 0.000 0.000 I


Entry 14:
PmDySi2Pd2 GGA-PBE relaxed; calculated volume = 20.6 Å³/atom; energy relative to the elements, uncorrected = -917 meV per atom; N(E_F) = 5.0 states/eV/f.u.; M_tot = 0.000 μB per cell
1.0
-3.034 2.887 0.463
1.018 -1.389 -3.846
-5.465 -5.850 0.665
Pm Si Pd Dy
1 2 2 1
Direct
0.000 0.000 0.000 Pm
0.333 0.667 0.253 Si
0.667 0.333 0.747 Si
0.333 0.667 0.735 Pd
0.667 0.333 0.265 Pd
0.000 0.000 0.500 Dy


Entry 15:
GdPaGaTc GGA-PBE relaxed; energy of formation from the pure elements = -0.143 eV/atom; calculated volume = 21.6 Å³/atom; N(E_F) = 3.2 states/eV/f.u.; M_tot = 7.018 μB per cell
1.0
4.965 0.000 0.000
2.482 4.300 0.000
2.482 1.433 4.054
Tc Pa Gd Ga
1 1 1 1
Direct
0.750 0.750 0.750 Tc
0.000 0.000 0.000 Pa
0.500 0.500 0.500 Gd
0.250 0.250 0.250 Ga


Entry 16:
KFeRhS3 GGA-PBE relaxed; calculated volume = 20.4 Å³/atom; energy relative to the elements, uncorrected = -648 meV per atom; N(E_F) = 2.1 states/eV/f.u.; M_tot = 3.999 μB per cell
1.0
-1.670 0.372 -3.204
6.847 -2.127 -3.816
-5.335 -7.036 1.963
Rh S K Fe
2 6 2 2
Direct
0.250 0.681 0.149 Rh
0.750 0.319 0.851 Rh
0.250 0.802 0.457 S
0.750 0.198 0.543 S
0.250 0.127 0.865 S
0.750 0.482 0.137 S
0.250 0.518 0.863 S
0.750 0.873 0.135 S
0.750 0.768 0.750 K
0.250 0.232 0.250 K
0.250 0.088 0.611 Fe
0.750 0.912 0.389 Fe


Entry 17:
LiNiP2 GGA-PBE relaxed; energy of formation from the pure elements = -0.506 eV/atom; calculated volume = 13.9 Å³/atom; N(E_F) = 1.8 states/eV/f.u.; M_tot = 0.000 μB per cell
1.0
5.044 0.447 -2.150
2.299 4.636 -0.980
-0.734 -0.224 5.271
P Li Ni
4 2 2
Direct
0.523 0.605 0.721 P
0.698 0.895 0.721 P
0.477 0.395 0.279 P
0.302 0.105 0.279 P
0.099 0.250 0.699 Li
0.901 0.750 0.301 Li
0.222 0.750 0.945 Ni
0.778 0.250 0.055 Ni


Entry 18:
BeCrSb2 GGA-PBE relaxed; calculated volume = 19.3 Å³/atom; energy relative to the elements, uncorrected = 354 meV per atom; N(E_F) = 2.3 states/eV/f.u.; M_tot = 0.047 μB per cell
1.0
-2.607 4.778 4.106
-1.902 0.537 6.525
4.536 -1.949 -4.702
Be Cr Sb
1 1 2
Direct
0.442 0.442 0.000 Be
0.328 0.828 0.500 Cr
0.735 0.235 0.500 Sb
0.995 0.995 0.000 Sb


Entry 19:
Cs3PbS3 GGA-PBE relaxed; calculated volume = 51.7 Å³/atom; energy relative to the elements, uncorrected = -737 meV per atom; N(E_F) = 2.3 states/eV/f.u.; M_tot = 1.947 μB per cell
1.0
-0.422 -6.927 1.596
6.162 -2.353 -8.581
4.624 1.929 9.594
S Cs Pb
6 6 2
Direct
0.250 0.390 0.195 S
0.250 0.806 0.610 S
0.750 0.194 0.390 S
0.750 0.610 0.805 S
0.250 0.805 0.194 S
0.750 0.195 0.806 S
0.750 0.352 0.177 Cs
0.750 0.824 0.648 Cs
0.250 0.176 0.825 Cs
0.750 0.824 0.175 Cs
0.250 0.176 0.352 Cs
0.250 0.648 0.823 Cs
0.750 0.333 0.667 Pb
0.250 0.667 0.333 Pb


Entry 20:
Nd6Sn2N GGA-PBE relaxed; calculated volume = 28.3 Å³/atom; energy relative to the elements, uncorrected = -655 meV per atom; N(E_F) = 9.6 states/eV/f.u.; M_tot = 0.000 μB per cell
1.0
6.165 0.003 3.558
2.053 5.813 3.558
0.002 0.001 7.118
Sn Nd N
2 6 1
Direct
0.750 0.750 0.750 Sn
0.250 0.250 0.250 Sn
0.255 0.255 0.745 Nd
0.745 0.255 0.255 Nd
0.255 0.745 0.255 Nd
0.745 0.255 0.745 Nd
0.745 0.745 0.255 Nd
0.255 0.745 0.745 Nd
0.500 0.500 0.500 N


Entry 21:
Sc5Zn4 GGA-PBE relaxed; energy of formation from the pure elements = -0.131 eV/atom; calculated volume = 19.3 Å³/atom; N(E_F) = 8.0 states/eV/f.u.; M_tot = 1.471 μB per cell
1.0
-4.507 4.507 2.143
4.507 -4.507 2.143
4.507 4.507 -2.143
Sc Zn
5 4
Direct
0.672 0.672 0.343 Sc
0.000 0.000 0.000 Sc
0.328 0.672 0.000 Sc
0.328 0.328 0.657 Sc
0.672 0.328 0.000 Sc
0.000 0.344 0.344 Zn
0.000 0.656 0.656 Zn
0.344 0.000 0.344 Zn
0.656 0.000 0.656 Zn


Entry 22:
Li2LaSm2Ga2 GGA-PBE relaxed; energy of formation from the pure elements = -0.296 eV/atom; calculated volume = 24.8 Å³/atom; N(E_F) = 5.3 states/eV/f.u.; M_tot = 0.000 μB per cell
1.0
4.732 0.000 0.000
2.366 4.098 0.000
2.366 1.366 8.946
Sm Ga Li La
2 2 2 1
Direct
0.873 0.873 0.382 Sm
0.127 0.127 0.618 Sm
0.258 0.258 0.226 Ga
0.742 0.742 0.774 Ga
0.403 0.403 0.791 Li
0.597 0.597 0.209 Li
0.000 0.000 0.000 La


Entry 23:
Ta2Nb2S7 GGA-PBE relaxed; calculated volume = 16.5 Å³/atom; energy relative to the elements, uncorrected = -716 meV per atom; N(E_F) = 4.8 states/eV/f.u.; M_tot = 0.000 μB per cell
1.0
3.227 0.000 0.000
1.614 8.043 0.075
1.614 3.880 7.046
S Nb Ta
7 2 2
Direct
0.146 0.139 0.570 S
0.500 0.002 0.998 S
0.854 0.430 0.861 S
0.181 0.722 0.915 S
0.394 0.696 0.517 S
0.606 0.483 0.304 S
0.819 0.085 0.278 S
0.000 0.785 0.215 Nb
0.500 0.296 0.704 Nb
0.750 0.858 0.642 Ta
0.250 0.358 0.142 Ta


Entry 24:
PaTi2Nb GGA-PBE relaxed; energy of formation from the pure elements = 0.004 eV/atom; calculated volume = 19.0 Å³/atom; N(E_F) = 4.9 states/eV/f.u.; M_tot = 0.000 μB per cell
1.0
4.758 0.000 0.000
2.379 4.121 0.000
2.379 1.374 3.885
Ti Nb Pa
2 1 1
Direct
0.000 0.000 0.000 Ti
0.250 0.250 0.250 Ti
0.750 0.750 0.750 Nb
0.500 0.500 0.500 Pa


Entry 25:
V2GaGe GGA-PBE relaxed; energy of formation from the pure elements = -0.120 eV/atom; calculated volume = 14.3 Å³/atom; N(E_F) = 2.8 states/eV/f.u.; M_tot = 0.000 μB per cell
1.0
-2.521 -3.539 0.090
7.780 -0.120 -4.784
0.624 -0.352 7.692
V Ga Ge
8 4 4
Direct
0.570 0.822 0.125 V
0.811 0.061 0.625 V
0.687 0.436 0.375 V
0.430 0.178 0.875 V
0.189 0.939 0.375 V
0.313 0.564 0.625 V
0.945 0.697 0.875 V
0.055 0.303 0.125 V
0.809 0.559 0.119 Ga
0.191 0.441 0.881 Ga
0.569 0.319 0.637 Ga
0.431 0.681 0.363 Ga
0.316 0.066 0.131 Ge
0.057 0.807 0.614 Ge
0.684 0.934 0.869 Ge
0.943 0.193 0.386 Ge